VASP calculation (GGA-PBE) on an optimized crystal structure of CaHPd2Se.

Calculated values
Calculated total energy = -21.49 eV per cell
SG = P4/mmm (123)

a = 4.0127 Å, b = 4.0127 Å, c = 5.0033 Å
α = 90.00°, β = 90.00°, γ = 90.00°
Fractional positions:
Ca1 0.0000 0.0000 0.0000
H1 0.5000 0.5000 0.5000
Pd1 0.0000 0.5000 0.5000
Pd2 0.5000 0.0000 0.5000
Se1 0.5000 0.5000 0.0000

***

VASP calculation (GGA-PBE) on an optimized crystal structure of CaHPdSe2.

Calculated values
Calculated total energy = -16.60 eV per cell
SG = P4/mmm (123)

a = 5.4695 Å, b = 5.4695 Å, c = 3.6235 Å
α = 90.00°, β = 90.00°, γ = 90.00°
Fractional positions:
Ca1 0.0000 0.0000 0.0000
H1 0.0000 0.0000 0.5000
Pd1 0.5000 0.5000 0.5000
Se1 0.0000 0.5000 0.0000
Se2 0.5000 0.0000 0.0000

***

VASP calculation (GGA-PBE) on an optimized crystal structure of Ca2SiHPd.

Calculated values
Calculated total energy = -20.46 eV per cell
SG = P4/mmm (123)

a = 5.0923 Å, b = 5.0923 Å, c = 3.5901 Å
α = 90.00°, β = 90.00°, γ = 90.00°
Fractional positions:
Ca1 0.0000 0.5000 0.0000
Ca2 0.5000 0.0000 0.0000
Si1 0.0000 0.0000 0.5000
H1 0.5000 0.5000 0.0000
Pd1 0.5000 0.5000 0.5000